Record 1
Ac4AsPCl2 after structural relaxation. Source: Alexandria, functional PBE-GGA.

Unit cell a=7.5715 b=4.4484 c=7.7679 alpha=90.00 beta=109.79 gamma=90.00
Sites, in units of the cell vectors:
Ac 0.2261 0.0000 0.2333
Ac 0.2309 0.5000 0.7533
Ac 0.7691 0.5000 0.2467
Ac 0.7739 0.0000 0.7667
As 0.0000 0.0000 0.5000
P 0.0000 0.5000 0.0000
Cl 0.5000 0.0000 0.0000
Cl 0.5000 0.5000 0.5000

Values from the calculation:
Uncorrected formation energy: -1.548 eV per atom
Raw total energy: -5.32 eV/atom

Record 2
TaV3C after structural relaxation. Source: Alexandria, functional PBE-GGA.

Unit cell a=7.7593 b=3.0807 c=10.3143 alpha=90.00 beta=90.00 gamma=90.00
Sites, in units of the cell vectors:
Ta 0.1702 0.2500 0.0186
Ta 0.3298 0.7500 0.5186
Ta 0.6702 0.2500 0.4814
Ta 0.8298 0.7500 0.9814
V 0.0450 0.2500 0.4194
V 0.0965 0.7500 0.2324
V 0.1563 0.7500 0.7815
V 0.3437 0.2500 0.2815
V 0.4035 0.2500 0.7324
V 0.4550 0.7500 0.9194
V 0.5450 0.2500 0.0806
V 0.5965 0.7500 0.2676
V 0.6563 0.7500 0.7185
V 0.8437 0.2500 0.2185
V 0.9035 0.2500 0.7676
V 0.9550 0.7500 0.5806
C 0.1452 0.2500 0.6297
C 0.3548 0.7500 0.1297
C 0.6452 0.2500 0.8703
C 0.8548 0.7500 0.3703

Values from the calculation:
Formation energy: -0.29 eV per atom
Distance to the lowest polymorph of the same formula: 0.000 eV per atom
Raw total energy: -9.98 eV/atom

Record 3
Dy3U2Se8 after structural relaxation. Source: Alexandria, functional PBE-GGA.

Unit cell a=8.3947 b=8.3947 c=6.9325 alpha=106.72 beta=106.72 gamma=58.18
Sites, in units of the cell vectors:
Dy 0.0000 0.0000 0.0000
Dy 0.2602 0.7398 0.5000
Dy 0.7398 0.2602 0.5000
U 0.2580 0.2580 0.8319
U 0.7420 0.7420 0.1681
Se 0.1117 0.6394 0.0856
Se 0.1177 0.1177 0.4217
Se 0.3606 0.8883 0.9144
Se 0.3883 0.3883 0.6097
Se 0.6117 0.6117 0.3903
Se 0.6394 0.1117 0.0856
Se 0.8823 0.8823 0.5783
Se 0.8883 0.3606 0.9144

Values from the calculation:
Uncorrected formation energy: -1.479 eV per atom
Raw total energy: -6.42 eV/atom

Record 4
Cd2TcAu after structural relaxation. Source: Alexandria, functional PBE-GGA.

Unit cell a=5.2023 b=5.2023 c=5.2702 alpha=100.41 beta=100.41 gamma=31.51
Sites, in units of the cell vectors:
Cd 0.0000 0.0000 0.0000
Cd 0.2389 0.2389 0.7118
Tc 0.4891 0.4891 0.4973
Au 0.7533 0.7533 0.2362

Values from the calculation:
Formation energy: 0.29 eV per atom
Distance to the lowest polymorph of the same formula: 0.064 eV per atom
Raw total energy: -3.58 eV/atom

Record 5
La6Te3Pb2I after structural relaxation. Source: Alexandria, functional PBE-GGA.

Unit cell a=10.3538 b=10.3538 c=9.2436 alpha=102.76 beta=102.76 gamma=25.93
Sites, in units of the cell vectors:
La 0.0023 0.0023 0.2650
La 0.3283 0.3283 0.9104
La 0.3319 0.3319 0.4204
La 0.6681 0.6681 0.5796
La 0.6717 0.6717 0.0896
La 0.9977 0.9977 0.7350
Te 0.1639 0.1639 0.8328
Te 0.5000 0.5000 0.5000
Te 0.8361 0.8361 0.1672
Pb 0.1651 0.1651 0.3286
Pb 0.8349 0.8349 0.6714
I 0.5000 0.5000 0.0000

Values from the calculation:
Uncorrected formation energy: -1.202 eV per atom
Raw total energy: -5.20 eV/atom

Record 6
FeTeIr2 after structural relaxation. Source: Alexandria, functional PBE-GGA.

Unit cell a=2.9740 b=2.9740 c=7.3855 alpha=90.00 beta=90.00 gamma=90.00
Sites, in units of the cell vectors:
Fe 0.0000 0.0000 0.0000
Te 0.5000 0.5000 0.7158
Ir 0.0000 0.0000 0.4556
Ir 0.5000 0.5000 0.2029

Values from the calculation:
Uncorrected formation energy: 0.456 eV per atom
Raw total energy: -6.88 eV/atom